Record 1
ScPdSe2Br, optimized geometry, DFT PBE-GGA; N(E_F) = 7.2 states/eV/f.u.; uncorrected formation energy = -0.25 eV/atom; uncorrected energy = -4.28 eV/atom
1.0
5.168 0.000 0.000
0.000 5.168 0.000
0.000 0.000 5.170
Sc Pd Br Se
1 1 1 2
Cartesian
0.000 0.000 0.000 Sc
2.584 2.584 2.585 Pd
0.000 0.000 2.585 Br
0.000 2.584 0.000 Se
2.584 0.000 0.000 Se



Record 2
SrTc2Mo, optimized geometry, DFT PBE-GGA; N(E_F) = 3.9 states/eV/f.u.; uncorrected energy = -7.70 eV/atom
1.0
4.144 0.000 0.000
0.000 2.952 0.004
0.000 1.347 6.632
Tc Sr Mo
2 1 1
Cartesian
0.000 0.183 0.519 Tc
0.000 1.966 2.799 Tc
2.072 3.225 4.977 Sr
2.072 1.075 1.659 Mo